First-principles (PBE) data for crystalline TlCuRu at its relaxed geometry, as listed in the Alexandria database.

a = 4.4108 Å, b = 4.4108 Å, c = 2.9530 Å
α = 90.00°, β = 90.00°, γ = 120.00°
Sites, in units of the cell vectors:
Ru: 0.6667 0.3333 0.3030
Cu: 0.0000 0.0000 0.9547
Tl: 0.3333 0.6667 0.7422

Calculated values
Uncorrected energy: -13.99 eV for the cell shown
Calculated volume: 16.59 Å³/atom
Crystal system: trigonal

***

First-principles (PBE) data for crystalline La3Tb2PmSe6 at its relaxed geometry, as listed in the Alexandria database.

a = 7.2951 Å, b = 7.2951 Å, c = 7.3444 Å
α = 99.52°, β = 99.52°, γ = 120.17°
Sites, in units of the cell vectors:
Se: 0.7390 0.7390 0.2344
Se: 0.9212 0.5822 0.7633
Se: 0.2610 0.2610 0.7656
Se: 0.0788 0.4178 0.2367
Se: 0.4178 0.0788 0.2367
Se: 0.5822 0.9212 0.7633
Pm: 0.0000 0.0000 0.0000
La: 0.8359 0.1641 0.5000
La: 0.5000 0.5000 0.5000
La: 0.1641 0.8359 0.5000
Tb: 0.3334 0.6666 0.0000
Tb: 0.6666 0.3334 0.0000

Calculated values
Uncorrected energy: -72.55 eV for the cell shown
Calculated volume: 26.56 Å³/atom
Crystal system: monoclinic